# Pm2Ga5Pt

Pm2Ga5Pt after structural relaxation (PBE, Alexandria).

Polymorph energy (0 for the lowest one)   0.169 eV/atom

```
data_Pm2Ga5Pt
_cell_length_a 6.174
_cell_length_b 6.174
_cell_length_c 4.681
_cell_angle_alpha 90.00
_cell_angle_beta 90.00
_cell_angle_gamma 90.00
_space_group_name_H-M_alt 'P 4/m m m'
_space_group_IT_number 123
_space_group_name_Hall '-P 4 2'
loop_
_atom_site_label
_atom_site_type_symbol
_atom_site_fract_x
_atom_site_fract_y
_atom_site_fract_z
Pm1 Pm 0.000 0.500 0.000
Ga1 Ga 0.000 0.000 0.000
Ga2 Ga 0.294 0.294 0.500
Pt1 Pt 0.000 0.000 0.500
```

***

# Pu12IrRh6

Pu12IrRh6 after structural relaxation (PBE, Alexandria).

Polymorph energy (0 for the lowest one)   0.000 eV/atom

```
data_Pu12IrRh6
_cell_length_a 10.7928
_cell_length_b 10.7928
_cell_length_c 11.4294
_cell_angle_alpha 90.00
_cell_angle_beta 90.00
_cell_angle_gamma 120.00
_space_group_name_H-M_alt 'R -3'
_space_group_IT_number 148
_space_group_name_Hall '-R 3'
loop_
_atom_site_label
_atom_site_type_symbol
_atom_site_fract_x
_atom_site_fract_y
_atom_site_fract_z
Pu1 Pu 0.0552 0.2359 0.4131
Pu2 Pu 0.0564 0.8709 0.7910
Ir1 Ir 0.0000 0.0000 0.0000
Rh1 Rh 0.0538 0.6014 0.7096
```

***

# PmIrRh2

PmIrRh2 after structural relaxation (PBE, Alexandria).

Polymorph energy (0 for the lowest one)   0.221 eV/atom

```
data_PmIrRh2
_cell_length_a 4.4060
_cell_length_b 4.4060
_cell_length_c 14.2213
_cell_angle_alpha 90.00
_cell_angle_beta 90.00
_cell_angle_gamma 120.00
_space_group_name_H-M_alt 'R -3 m'
_space_group_IT_number 166
_space_group_name_Hall '-R 3 2"'
loop_
_atom_site_label
_atom_site_type_symbol
_atom_site_fract_x
_atom_site_fract_y
_atom_site_fract_z
Pm1 Pm 0.0000 0.0000 0.0000
Ir1 Ir 0.0000 0.0000 0.5000
Rh1 Rh 0.0000 0.0000 0.2024
```

***

# Ba2MnSiTc

Ba2MnSiTc after structural relaxation (PBE, Alexandria).

Formation energy (no corrections)   0.7089 eV/atom

```
data_Ba2MnSiTc
_cell_length_a 6.303
_cell_length_b 6.303
_cell_length_c 4.557
_cell_angle_alpha 90.00
_cell_angle_beta 90.00
_cell_angle_gamma 90.00
_space_group_name_H-M_alt 'P 4/m m m'
_space_group_IT_number 123
_space_group_name_Hall '-P 4 2'
loop_
_atom_site_label
_atom_site_type_symbol
_atom_site_fract_x
_atom_site_fract_y
_atom_site_fract_z
Ba1 Ba 0.000 0.500 0.000
Mn1 Mn 0.000 0.000 0.500
Si1 Si 0.500 0.500 0.000
Tc1 Tc 0.500 0.500 0.500
```

***

# NaMgIn2Cu

NaMgIn2Cu after structural relaxation (PBE, Alexandria).

Raw total energy   -2.45 eV per atom

```
data_NaMgIn2Cu
_cell_length_a 5.098
_cell_length_b 5.098
_cell_length_c 5.001
_cell_angle_alpha 90.00
_cell_angle_beta 90.00
_cell_angle_gamma 90.00
_space_group_name_H-M_alt 'P 4/m m m'
_space_group_IT_number 123
_space_group_name_Hall '-P 4 2'
loop_
_atom_site_label
_atom_site_type_symbol
_atom_site_fract_x
_atom_site_fract_y
_atom_site_fract_z
Na1 Na 0.000 0.000 0.000
Mg1 Mg 0.500 0.500 0.000
In1 In 0.000 0.500 0.500
Cu1 Cu 0.500 0.500 0.500
```

***

# Ca2MnSi4Pt3

Ca2MnSi4Pt3 after structural relaxation (PBE, Alexandria).

Formation energy (no corrections)   -0.8325 eV/atom

```
data_Ca2MnSi4Pt3
_cell_length_a 4.100
_cell_length_b 4.100
_cell_length_c 10.316
_cell_angle_alpha 90.00
_cell_angle_beta 90.00
_cell_angle_gamma 90.00
_space_group_name_H-M_alt 'P -4 m 2'
_space_group_IT_number 115
_space_group_name_Hall 'P -4 -2'
loop_
_atom_site_label
_atom_site_type_symbol
_atom_site_fract_x
_atom_site_fract_y
_atom_site_fract_z
Ca1 Ca 0.000 0.500 0.250
Mn1 Mn 0.000 0.000 0.500
Si1 Si 0.000 0.000 0.000
Si2 Si 0.000 0.500 0.631
Si3 Si 0.500 0.500 0.000
Pt1 Pt 0.000 0.500 0.871
Pt2 Pt 0.500 0.500 0.500
```